1.
# MoSeBr | the Alexandria database | PBEsol | optimized geometry
# **D(E_F)**: 3.653 states/eV per cell
# **E_form (uncorrected)**: -0.20 eV/atom
data_MoSeBr
_chemical_formula_sum 'Mo2 Se2 Br2'
_cell_length_a 3.0837
_cell_length_b 3.0837
_cell_length_c 12.7454
_cell_angle_alpha 90.00
_cell_angle_beta 90.00
_cell_angle_gamma 90.00
_space_group_name_H-M_alt 'I 4 m m'
_space_group_IT_number 107
_space_group_name_Hall 'I 4 -2'
loop_
_atom_site_label
_atom_site_fract_x
_atom_site_fract_y
_atom_site_fract_z
_atom_site_occupancy
Mo1 0.0000 0.0000 0.0000 1
Se1 0.0000 0.0000 0.6158 1
Br1 0.0000 0.0000 0.3708 1

***

2.
# TiMoSeBr2 | the Alexandria database | PBEsol | optimized geometry
# **D(E_F)**: 8.815 states/eV per cell
# **E_form (uncorrected)**: 0.47 eV/atom
data_TiMoSeBr2
_chemical_formula_sum 'Ti1 Mo1 Se1 Br2'
_cell_length_a 5.0583
_cell_length_b 5.0583
_cell_length_c 4.8430
_cell_angle_alpha 90.00
_cell_angle_beta 90.00
_cell_angle_gamma 90.00
_space_group_name_H-M_alt 'P 4/m m m'
_space_group_IT_number 123
_space_group_name_Hall '-P 4 2'
loop_
_atom_site_label
_atom_site_fract_x
_atom_site_fract_y
_atom_site_fract_z
_atom_site_occupancy
Ti1 0.0000 0.0000 0.0000 1
Mo1 0.5000 0.5000 0.5000 1
Se1 0.5000 0.5000 0.0000 1
Br1 0.0000 0.5000 0.5000 1

***

3.
# Si2MoBr | the Alexandria database | PBEsol | optimized geometry
# **D(E_F)**: 1.547 states/eV per cell
# **E_form (uncorrected)**: 0.33 eV/atom
# **Offset from the most stable computed form**: 0.000 eV/atom
data_Si2MoBr
_chemical_formula_sum 'Si2 Mo1 Br1'
_cell_length_a 3.5814
_cell_length_b 4.1474
_cell_length_c 5.0234
_cell_angle_alpha 90.00
_cell_angle_beta 106.28
_cell_angle_gamma 90.00
_space_group_name_H-M_alt 'P 1 m 1'
_space_group_IT_number 6
loop_
_space_group_symop_operation_xyz
'x,y,z'
'x,-y,z'
loop_
_atom_site_label
_atom_site_fract_x
_atom_site_fract_y
_atom_site_fract_z
_atom_site_occupancy
Si1 0.0000 0.0000 0.0000 1
Si2 0.4144 0.5000 0.9017 1
Mo1 0.3647 0.0000 0.6503 1
Br1 0.6350 0.5000 0.3954 1

***

4.
# Si2MoBr | the Alexandria database | PBEsol | optimized geometry
# **D(E_F)**: 5.831 states/eV per cell
# **E_form (uncorrected)**: 0.55 eV/atom
# **Offset from the most stable computed form**: 0.213 eV/atom
data_Si2MoBr
_chemical_formula_sum 'Si4 Mo2 Br2'
_cell_length_a 5.5989
_cell_length_b 7.6225
_cell_length_c 2.9225
_cell_angle_alpha 90.00
_cell_angle_beta 90.00
_cell_angle_gamma 90.00
_space_group_name_H-M_alt 'C m m m'
_space_group_IT_number 65
_space_group_name_Hall '-C 2 2'
loop_
_atom_site_label
_atom_site_fract_x
_atom_site_fract_y
_atom_site_fract_z
_atom_site_occupancy
Si1 0.2500 0.2500 0.0000 1
Mo1 0.0000 0.0000 0.5000 1
Br1 0.0000 0.5000 0.5000 1

***

5.
# Sn3MoBr | the Alexandria database | PBEsol | optimized geometry
# **D(E_F)**: 2.201 states/eV per cell
# **E_form (uncorrected)**: 0.08 eV/atom
data_Sn3MoBr
_chemical_formula_sum 'Sn3 Mo1 Br1'
_cell_length_a 5.2025
_cell_length_b 5.2025
_cell_length_c 5.2025
_cell_angle_alpha 90.00
_cell_angle_beta 90.00
_cell_angle_gamma 90.00
_space_group_name_H-M_alt 'P m -3 m'
_space_group_IT_number 221
_space_group_name_Hall '-P 4 2 3'
loop_
_atom_site_label
_atom_site_fract_x
_atom_site_fract_y
_atom_site_fract_z
_atom_site_occupancy
Sn1 0.0000 0.0000 0.5000 1
Mo1 0.0000 0.0000 0.0000 1
Br1 0.5000 0.5000 0.5000 1

***

6.
# SrMoBr2 | the Alexandria database | PBEsol | optimized geometry
# **D(E_F)**: 8.292 states/eV per cell
# **E_form (uncorrected)**: -0.20 eV/atom
# **Offset from the most stable computed form**: 0.000 eV/atom
data_SrMoBr2
_chemical_formula_sum 'Sr3 Mo3 Br6'
_cell_length_a 3.5755
_cell_length_b 3.5755
_cell_length_c 28.2428
_cell_angle_alpha 90.00
_cell_angle_beta 90.00
_cell_angle_gamma 120.00
_space_group_name_H-M_alt 'R 3 m'
_space_group_IT_number 160
_space_group_name_Hall 'R 3 -2"'
loop_
_atom_site_label
_atom_site_fract_x
_atom_site_fract_y
_atom_site_fract_z
_atom_site_occupancy
Sr1 0.0000 0.0000 0.0000 1
Mo1 0.0000 0.0000 0.7621 1
Br1 0.0000 0.0000 0.2596 1
Br2 0.0000 0.0000 0.4816 1